This record from Alexandria via LeMat-Bulk describes a geometry-optimized PaCoBiO5 structure. The functional is GGA+U.

extended XYZ file:
```
16
Lattice="6.0373 -0.1323 -0.0402 -1.8889 5.7357 -0.0402 -1.7614 -2.3793 7.3517" Properties=species:S:1:pos:R:3 pbc="T T T"
O 0.0179 0.7699 4.2180
O -0.9906 3.8627 4.6623
O -1.5742 4.5820 1.7977
O 0.7751 1.7927 6.7291
O 3.3776 -0.6385 2.6090
O 2.3691 2.4543 3.0533
O 1.6119 1.4315 0.5421
O 3.9612 -1.3578 5.4735
O 4.8643 1.3697 0.9864
O -2.4773 1.8545 6.2848
Co -0.7299 2.1152 5.4735
Co 3.1168 1.1090 1.7977
Pa 0.0000 0.0000 0.0000
Pa -0.8807 -1.1896 3.6758
Bi 0.5289 3.0249 1.7977
Bi 1.8580 0.1993 5.4735
```

Properties
Total DFT energy (no corrections) = -7.542 eV/atom
ρ = 7.64 g/cm³
Crystal system = monoclinic
Space-group type = C2/c, No. 15